{"formula": "K2TlSnS4", "functional": "PBE", "state": "optimized geometry", "total_energy_ev_per_atom": -3.76, "e_form_raw_ev_per_atom": -0.6209, "lattice_angstrom": [[-3.797, 3.736, 6.596], [-6.925, -4.671, -1.452], [7.912, -3.726, 0.816]], "species": ["S", "S", "S", "S", "S", "S", "S", "S", "K", "K", "K", "K", "Tl", "Tl", "Sn", "Sn"], "fractional_positions": [[0.246, 0.253, 0.044], [0.753, 0.746, 0.544], [0.247, 0.254, 0.456], [0.754, 0.747, 0.956], [0.200, 0.777, 0.989], [0.723, 0.300, 0.511], [0.800, 0.223, 0.011], [0.277, 0.700, 0.489], [0.500, 0.000, 0.500], [0.000, 0.000, 0.500], [0.500, 0.000, 0.000], [0.500, 0.500, 0.000], [0.000, 0.500, 0.000], [0.000, 0.500, 0.500], [0.000, 0.000, 0.000], [0.500, 0.500, 0.500]]}

***

{"formula": "KTlSnS2", "functional": "PBE", "state": "optimized geometry", "total_energy_ev_per_atom": -3.75, "e_form_raw_ev_per_atom": -0.6008, "lattice_angstrom": [[-2.891, -4.773, 2.566], [4.412, -1.994, -6.089], [6.175, -0.608, 5.828]], "species": ["S", "S", "S", "S", "Tl", "Tl", "K", "K", "Sn", "Sn"], "fractional_positions": [[0.506, 0.011, 0.265], [0.494, 0.989, 0.735], [0.874, 0.748, 0.000], [0.126, 0.252, 0.000], [0.639, 0.279, 0.533], [0.361, 0.721, 0.467], [0.348, 0.696, 0.980], [0.652, 0.304, 0.020], [0.986, 0.971, 0.780], [0.014, 0.029, 0.220]]}

***

{"formula": "K4Tm3SnS8", "functional": "PBE", "state": "optimized geometry", "total_energy_ev_per_atom": -5.02, "e_form_raw_ev_per_atom": -1.5965, "lattice_angstrom": [[-5.675, 1.936, 5.340], [5.241, -2.484, 6.471], [2.772, 5.547, -5.102]], "species": ["Tm", "Tm", "Tm", "S", "S", "S", "S", "S", "S", "S", "S", "K", "K", "K", "K", "Sn"], "fractional_positions": [[0.500, 0.500, 0.500], [0.000, 0.500, 0.500], [0.500, 0.500, 0.000], [0.765, 0.301, 0.531], [0.270, 0.301, 0.036], [0.733, 0.700, 0.467], [0.235, 0.699, 0.469], [0.730, 0.699, 0.964], [0.765, 0.301, 0.036], [0.267, 0.300, 0.533], [0.235, 0.699, 0.964], [0.000, 0.000, 0.500], [0.500, 0.000, 0.500], [0.500, 0.000, 0.000], [0.000, 0.000, 0.000], [0.000, 0.500, 0.000]]}

***

{"formula": "KTmSnS3", "functional": "PBE", "state": "optimized geometry", "total_energy_ev_per_atom": -4.93, "e_form_raw_ev_per_atom": -1.2738, "lattice_angstrom": [[-3.305, 2.115, 0.078], [-0.061, -4.019, 7.704], [5.553, 8.512, 4.485]], "species": ["Sn", "Sn", "S", "S", "S", "S", "S", "S", "K", "K", "Tm", "Tm"], "fractional_positions": [[0.621, 0.242, 0.250], [0.379, 0.758, 0.750], [0.392, 0.784, 0.500], [0.984, 0.968, 0.750], [0.608, 0.216, 0.500], [0.608, 0.216, 0.000], [0.016, 0.032, 0.250], [0.392, 0.784, 0.000], [0.678, 0.356, 0.750], [0.322, 0.644, 0.250], [0.000, 0.000, 0.500], [0.000, 0.000, 0.000]]}

***

{"formula": "K3Tm3SnS8", "functional": "PBE", "state": "optimized geometry", "total_energy_ev_per_atom": -5.16, "e_form_raw_ev_per_atom": -1.5806, "lattice_angstrom": [[7.866, 0.000, 0.000], [-3.933, 6.813, -0.028], [0.000, -4.514, 7.532]], "species": ["S", "S", "S", "S", "S", "S", "S", "S", "K", "K", "K", "Tm", "Tm", "Tm", "Sn"], "fractional_positions": [[0.732, 0.465, 0.697], [0.775, 0.031, 0.306], [0.743, 0.969, 0.694], [0.268, 0.535, 0.303], [0.225, 0.969, 0.694], [0.257, 0.031, 0.306], [0.225, 0.451, 0.694], [0.775, 0.549, 0.306], [0.000, 0.500, 0.000], [0.000, 0.000, 0.000], [0.500, 0.500, 0.000], [0.500, 0.000, 0.500], [0.500, 0.500, 0.500], [0.000, 0.500, 0.500], [0.000, 0.000, 0.500]]}

***

{"formula": "KUSn2S5", "functional": "PBE", "state": "optimized geometry", "total_energy_ev_per_atom": -5.37, "e_form_raw_ev_per_atom": -0.8108, "lattice_angstrom": [[5.135, 0.000, 0.000], [0.000, 7.257, 0.000], [-2.567, -3.628, 6.939]], "species": ["Sn", "Sn", "S", "S", "S", "S", "S", "K", "U"], "fractional_positions": [[0.783, 0.783, 0.566], [0.217, 0.217, 0.434], [0.638, 0.894, 0.275], [0.362, 0.106, 0.725], [0.638, 0.381, 0.275], [0.362, 0.619, 0.725], [0.000, 0.000, 0.000], [0.000, 0.500, 0.000], [0.500, 0.000, 0.000]]}